1.
# PBE-GGA TlIn7Hg12, relaxed
data_TlIn7Hg12
_space_group_name_H-M_alt 'I m -3'
_space_group_IT_number 204
_space_group_name_Hall '-I 2 2 3'
_cell_length_a 10.9273
_cell_length_b 10.9273
_cell_length_c 10.9273
_cell_angle_alpha 90.00
_cell_angle_beta 90.00
_cell_angle_gamma 90.00
loop_
_atom_site_label
_atom_site_type_symbol
_atom_site_fract_x
_atom_site_fract_y
_atom_site_fract_z
Tl1 Tl 0.0000 0.0000 0.0000
In1 In 0.0000 0.0000 0.5000
In2 In 0.2500 0.2500 0.2500
Hg1 Hg 0.0000 0.1872 0.3011
# Raw total energy: -1.136 eV per atom
# ΔE to the lowest computed polymorph: 0.052 eV/atom
# V: 652.38 Å³/f.u.

2.
# PBE-GGA Tl4In2Hg3, relaxed
data_Tl4In2Hg3
_space_group_name_H-M_alt 'C 1 2/c 1'
_space_group_IT_number 15
_cell_length_a 15.6802
_cell_length_b 11.3988
_cell_length_c 5.8416
_cell_angle_alpha 90.00
_cell_angle_beta 97.36
_cell_angle_gamma 90.00
loop_
_space_group_symop_operation_xyz
'x,y,z'
'-x,-y,-z'
'-x,y,-z+1/2'
'x,-y,z+1/2'
'x+1/2,y+1/2,z'
'-x+1/2,-y+1/2,-z'
'-x+1/2,y+1/2,-z+1/2'
'x+1/2,-y+1/2,z+1/2'
loop_
_atom_site_label
_atom_site_type_symbol
_atom_site_fract_x
_atom_site_fract_y
_atom_site_fract_z
Tl1 Tl 0.0648 0.1217 0.0109
Tl2 Tl 0.2114 0.3837 0.9013
In1 In 0.1015 0.3635 0.3434
Hg1 Hg 0.0000 0.3829 0.7500
Hg2 Hg 0.1783 0.1312 0.5550
# Raw total energy: -1.752 eV per atom
# ΔE to the lowest computed polymorph: 0.000 eV/atom
# V: 258.87 Å³/f.u.

3.
# PBE-GGA Tl2InHg, relaxed
data_Tl2InHg
_space_group_name_H-M_alt 'P 4 m m'
_space_group_IT_number 99
_cell_length_a 3.8502
_cell_length_b 3.8502
_cell_length_c 7.7281
_cell_angle_alpha 90.00
_cell_angle_beta 90.00
_cell_angle_gamma 90.00
loop_
_space_group_symop_operation_xyz
'x,y,z'
'-y,x,z'
'-x,-y,z'
'y,-x,z'
'-x,y,z'
'y,x,z'
'x,-y,z'
'-y,-x,z'
loop_
_atom_site_label
_atom_site_type_symbol
_atom_site_fract_x
_atom_site_fract_y
_atom_site_fract_z
Tl1 Tl 0.0000 0.0000 0.0000
Tl2 Tl 0.5000 0.5000 0.2743
In1 In 0.5000 0.5000 0.7393
Hg1 Hg 0.0000 0.0000 0.5202
# Raw total energy: -1.942 eV per atom
# ΔE to the lowest computed polymorph: 0.000 eV/atom
# V: 114.56 Å³/f.u.

4.
# PBE-GGA TlIn5Hg3, relaxed
data_TlIn5Hg3
_space_group_name_H-M_alt 'C m c m'
_space_group_IT_number 63
_space_group_name_Hall '-C 2c 2'
_cell_length_a 16.3524
_cell_length_b 9.5389
_cell_length_c 6.2883
_cell_angle_alpha 90.00
_cell_angle_beta 90.00
_cell_angle_gamma 90.00
loop_
_atom_site_label
_atom_site_type_symbol
_atom_site_fract_x
_atom_site_fract_y
_atom_site_fract_z
Tl1 Tl 0.0000 0.0000 0.0000
In1 In 0.0000 0.3374 0.2500
In2 In 0.1650 0.5000 0.0000
In3 In 0.1696 0.1689 0.7500
Hg1 Hg 0.0000 0.3318 0.7500
Hg2 Hg 0.1666 0.1650 0.2500
# Raw total energy: -1.865 eV per atom
# V: 245.22 Å³/f.u.

5.
# PBE-GGA Tl8In2Hg3, relaxed
data_Tl8In2Hg3
_space_group_name_H-M_alt 'P 1 2/m 1'
_space_group_IT_number 10
_cell_length_a 9.6026
_cell_length_b 4.9927
_cell_length_c 9.6035
_cell_angle_alpha 90.00
_cell_angle_beta 114.99
_cell_angle_gamma 90.00
loop_
_space_group_symop_operation_xyz
'x,y,z'
'-x,-y,-z'
'-x,y,-z'
'x,-y,z'
loop_
_atom_site_label
_atom_site_type_symbol
_atom_site_fract_x
_atom_site_fract_y
_atom_site_fract_z
Tl1 Tl 0.1140 0.0000 0.3778
Tl2 Tl 0.1375 0.5000 0.8624
Tl3 Tl 0.3781 0.0000 0.1136
Tl4 Tl 0.3853 0.5000 0.6146
In1 In 0.2602 0.0000 0.7394
Hg1 Hg 0.0000 0.0000 0.0000
Hg2 Hg 0.2452 0.5000 0.2448
# Raw total energy: -1.887 eV per atom
# ΔE to the lowest computed polymorph: 0.009 eV/atom
# V: 417.32 Å³/f.u.

6.
# PBE-GGA TlIn2Hg2, relaxed
data_TlIn2Hg2
_space_group_name_H-M_alt 'I 4/m m m'
_space_group_IT_number 139
_space_group_name_Hall '-I 4 2'
_cell_length_a 4.7635
_cell_length_b 4.7635
_cell_length_c 12.9772
_cell_angle_alpha 90.00
_cell_angle_beta 90.00
_cell_angle_gamma 90.00
loop_
_atom_site_label
_atom_site_type_symbol
_atom_site_fract_x
_atom_site_fract_y
_atom_site_fract_z
Tl1 Tl 0.0000 0.0000 0.0000
In1 In 0.0000 0.5000 0.2500
Hg1 Hg 0.0000 0.0000 0.3908
# Raw total energy: -1.653 eV per atom
# ΔE to the lowest computed polymorph: 0.026 eV/atom
# V: 147.23 Å³/f.u.